(1)
# AcLaBiAu | the Alexandria database | PBE | optimized geometry
# - Energy relative to the elements: -0.728 eV per atom
data_AcLaBiAu
_chemical_formula_sum 'Ac4 La4 Bi4 Au4'
_cell_length_a 7.966
_cell_length_b 7.966
_cell_length_c 7.966
_cell_angle_alpha 90.00
_cell_angle_beta 90.00
_cell_angle_gamma 90.00
_space_group_name_H-M_alt 'F -4 3 m'
_space_group_IT_number 216
_space_group_name_Hall 'F -4 2 3'
loop_
_atom_site_label
_atom_site_type_symbol
_atom_site_fract_x
_atom_site_fract_y
_atom_site_fract_z
Ac1 Ac 0.000 0.000 0.000
La1 La 0.000 0.000 0.500
Bi1 Bi 0.250 0.250 0.250
Au1 Au 0.250 0.250 0.750



(2)
# BaBiIr | the Alexandria database | PBE | optimized geometry
# - Energy relative to the elements: -0.288 eV per atom
data_BaBiIr
_chemical_formula_sum 'Ba4 Bi4 Ir4'
_cell_length_a 13.456
_cell_length_b 4.176
_cell_length_c 9.095
_cell_angle_alpha 90.00
_cell_angle_beta 131.87
_cell_angle_gamma 90.00
_space_group_name_H-M_alt 'C 1 m 1'
_space_group_IT_number 8
loop_
_space_group_symop_operation_xyz
'x,y,z'
'x,-y,z'
'x+1/2,y+1/2,z'
'x+1/2,-y+1/2,z'
loop_
_atom_site_label
_atom_site_type_symbol
_atom_site_fract_x
_atom_site_fract_y
_atom_site_fract_z
Ba1 Ba 0.000 0.000 0.000
Ba2 Ba 0.069 0.000 0.547
Bi1 Bi 0.294 0.000 0.073
Bi2 Bi 0.332 0.000 0.518
Ir1 Ir 0.102 0.500 0.848
Ir2 Ir 0.260 0.500 0.247



(3)
Entry from the Alexandria database: a geometry-optimized Nd4HCBr2 structure (PBE).

Cell and atoms, written as CIF:
```
data_Nd4HCBr2
_chemical_formula_sum 'Nd4 H1 C1 Br2'
_cell_length_a 6.599
_cell_length_b 3.827
_cell_length_c 7.680
_cell_angle_alpha 90.00
_cell_angle_beta 105.18
_cell_angle_gamma 90.00
_space_group_name_H-M_alt 'P 1 2/m 1'
_space_group_IT_number 10
loop_
_space_group_symop_operation_xyz
'x,y,z'
'-x,-y,-z'
'-x,y,-z'
'x,-y,z'
loop_
_atom_site_label
_atom_site_type_symbol
_atom_site_fract_x
_atom_site_fract_y
_atom_site_fract_z
Nd1 Nd 0.224 0.000 0.180
Nd2 Nd 0.256 0.500 0.809
H1 H 0.500 0.000 0.000
C1 C 0.000 0.500 0.000
Br1 Br 0.000 0.000 0.500
Br2 Br 0.500 0.500 0.500
```



Number 1: E_tot -4.776 eV/atom, total magnetization 0.00 μB/atom. Number 2: E_tot -5.176 eV/atom, total magnetization 0.00 μB/atom. Number 3: E_tot -5.164 eV/atom, total magnetization 0.00 μB/atom.